VASP calculation (PBE+U) on VFe2F after structural relaxation.

Summary:
Excess energy over the best structure of this formula in the dataset   0.0 kJ per mole of atoms

abc: 7.126 7.126 4.941
angles: 90.00 90.00 90.00
Space group I-42d (No. 122)
Inequivalent atoms, fractional coordinates:
V 0.000 0.000 0.000 x4
Fe 0.193 0.250 0.625 x8
F 0.000 0.000 0.500 x4